[1]
A plane-wave DFT calculation with PBE was carried out for a relaxed YZn2P crystal.

Cell: 3.499 3.499 6.104 Å, 90.00 90.00 90.00°
Last column: magnetic moment on the atom in μB.
Positions (direct):
Y  0.500  0.500  0.500  0.13
Zn  0.000  0.000  0.797  0.00
Zn  0.000  0.000  0.203  0.00
P  0.500  0.500  0.000  -0.01



[2]
A plane-wave DFT calculation with PBE was carried out for a relaxed YZn3P crystal.

Cell: 4.708 4.708 4.708 Å, 90.00 90.00 90.00°
Positions (direct):
Y  0.500  0.500  0.500
P  0.000  0.000  0.000
Zn  0.000  0.500  0.000
Zn  0.000  0.000  0.500
Zn  0.500  0.000  0.000



[3]
A plane-wave DFT calculation with PBE was carried out for a relaxed Y2ZnP crystal.

Cell: 7.378 7.378 7.378 Å, 30.98 30.98 30.98°
Positions (direct):
Y  0.973  0.973  0.973
Y  0.776  0.776  0.776
Zn  0.552  0.552  0.552
P  0.199  0.199  0.199



[4]
A plane-wave DFT calculation with PBE was carried out for a relaxed YZn2P crystal.

Cell: 3.661 3.661 5.963 Å, 90.00 90.00 90.00°
Positions (direct):
Y  0.500  0.500  0.700
Zn  0.000  0.000  0.089
Zn  0.500  0.500  0.195
P  0.000  0.000  0.516



no.,E_tot (eV/cell),ρ (g/cm³),calculated formation energy (eV per atom)
1,-15.10,5.57,-0.17
2,-14.91,5.03,0.16
3,-21.74,4.82,-0.53
4,-15.99,5.21,-0.39